ZnFe2SbRh | PBE | optimized geometry

Cell: 4.326 4.326 4.520 Å, 90.00 90.00 90.00°
Element x y z (fractional)
Sb: 0.500 0.500 0.500
Zn: 0.000 0.000 0.000
Rh: 0.000 0.000 0.500
Fe: 0.000 0.500 0.000
Fe: 0.500 0.000 0.000

Results
- magnetization (μB/f.u.) = 0.0
- calculated volume (Å³/atom) = 16.92
- total DFT energy (no corrections) (hartree per atom) = -0.1763



NpHgPbO6 | PBE | optimized geometry

Cell: 5.725 5.725 9.994 Å, 90.00 90.00 120.00°
Element x y z (fractional)
Np: 0.667 0.333 0.250
Np: 0.333 0.667 0.750
Hg: 0.333 0.667 0.250
Hg: 0.667 0.333 0.750
Pb: 0.000 0.000 0.000
Pb: 0.000 0.000 0.500
O: 0.677 0.632 0.134
O: 0.954 0.323 0.134
O: 0.323 0.954 0.634
O: 0.046 0.677 0.866
O: 0.368 0.323 0.366
O: 0.954 0.632 0.366
O: 0.632 0.954 0.866
O: 0.677 0.046 0.366
O: 0.046 0.368 0.634
O: 0.368 0.046 0.134
O: 0.632 0.677 0.634
O: 0.323 0.368 0.866

Results
- magnetization (μB/f.u.) = 0.0
- calculated volume (Å³/atom) = 15.76
- total DFT energy (no corrections) (hartree per atom) = -0.2449



Ta4Tc5 | PBE | optimized geometry

Cell: 6.968 6.968 6.968 Å, 92.94 92.94 153.82°
Element x y z (fractional)
Ta: 0.677 0.000 0.677
Ta: 0.323 0.000 0.323
Ta: 0.000 0.323 0.323
Ta: 0.000 0.677 0.677
Tc: 0.000 0.000 0.000
Tc: 0.665 0.335 0.000
Tc: 0.335 0.665 0.000
Tc: 0.335 0.335 0.670
Tc: 0.665 0.665 0.330

Results
- magnetization (μB/f.u.) = 0.0
- distance to the lowest polymorph of the same formula (meV per atom) = 0
- calculated volume (Å³/atom) = 16.15
- formation enthalpy at 0 K (eV/atom) = -0.151



CsIn2Bi3 | PBE | optimized geometry

Cell: 7.703 8.373 8.373 Å, 116.57 90.00 90.00°
Element x y z (fractional)
Cs: 0.750 0.343 0.657
Cs: 0.250 0.657 0.343
In: 0.000 0.813 0.813
In: 0.500 0.813 0.813
In: 0.000 0.187 0.187
In: 0.500 0.187 0.187
Bi: 0.250 0.130 0.870
Bi: 0.250 0.530 0.816
Bi: 0.750 0.816 0.530
Bi: 0.250 0.184 0.470
Bi: 0.750 0.470 0.184
Bi: 0.750 0.870 0.130

Results
- magnetization (μB/f.u.) = 0.0
- distance to the lowest polymorph of the same formula (meV per atom) = 0
- calculated volume (Å³/atom) = 40.25
- formation enthalpy at 0 K (eV/atom) = -0.138



Sr2Ge3SbPt4 | PBE | optimized geometry

Cell: 4.529 4.529 10.290 Å, 90.00 90.00 90.00°
Element x y z (fractional)
Sr: 0.500 0.000 0.244
Sr: 0.000 0.500 0.756
Ge: 0.000 0.000 0.500
Ge: 0.500 0.000 0.881
Ge: 0.000 0.500 0.119
Sb: 0.500 0.500 0.500
Pt: 0.500 0.500 0.000
Pt: 0.000 0.000 0.000
Pt: 0.500 0.000 0.636
Pt: 0.000 0.500 0.364

Results
- magnetization (μB/f.u.) = 0.0
- calculated volume (Å³/atom) = 21.11
- total DFT energy (no corrections) (hartree per atom) = -0.1962



LiCa3Ta | PBE | optimized geometry

Cell: 5.714 5.714 5.714 Å, 90.00 90.00 90.00°
Element x y z (fractional)
Ca: 0.000 0.500 0.000
Ca: 0.000 0.000 0.500
Ca: 0.500 0.000 0.000
Li: 0.500 0.500 0.500
Ta: 0.000 0.000 0.000

Results
- magnetization (μB/f.u.) = 0.0
- distance to the lowest polymorph of the same formula (meV per atom) = 0
- calculated volume (Å³/atom) = 37.31
- formation enthalpy at 0 K (eV/atom) = 0.976



LaMn4Sb | PBE | optimized geometry

Cell: 5.269 5.269 5.269 Å, 60.00 60.00 60.00°
Element x y z (fractional)
La: 0.000 0.000 0.000
Mn: 0.624 0.624 0.127
Mn: 0.624 0.127 0.624
Mn: 0.624 0.624 0.624
Mn: 0.127 0.624 0.624
Sb: 0.250 0.250 0.250

Results
- magnetization (μB/f.u.) = 10.4
- calculated volume (Å³/atom) = 17.24
- total DFT energy (no corrections) (hartree per atom) = -0.2710



Pr2Si2Tc2N | PBE | optimized geometry

Cell: 4.099 6.026 6.085 Å, 72.30 70.32 70.12°
Element x y z (fractional)
Pr: 0.564 0.173 0.700
Pr: 0.436 0.827 0.300
Si: 0.161 0.393 0.284
Si: 0.839 0.607 0.716
Tc: 0.200 0.694 0.906
Tc: 0.800 0.306 0.094
N: 0.000 0.000 0.000

Results
- magnetization (μB/f.u.) = 0.0
- calculated volume (Å³/atom) = 18.57
- total DFT energy (no corrections) (hartree per atom) = -0.2885



IrSeO2 | PBE | optimized geometry

Cell: 6.337 6.337 6.337 Å, 29.34 29.34 29.34°
Element x y z (fractional)
Ir: 0.500 0.500 0.500
O: 0.885 0.885 0.885
O: 0.115 0.115 0.115
Se: 0.000 0.000 0.000

Results
- magnetization (μB/f.u.) = 0.0
- calculated volume (Å³/atom) = 13.52
- total DFT energy (no corrections) (hartree per atom) = -0.2117



BaZr2IO | PBE | optimized geometry

Cell: 4.493 6.939 4.493 Å, 90.00 90.00 90.00°
Element x y z (fractional)
I: 0.000 0.500 0.000
O: 0.000 0.000 0.000
Ba: 0.500 0.500 0.500
Zr: 0.000 0.000 0.500
Zr: 0.500 0.000 0.000

Results
- magnetization (μB/f.u.) = 1.6
- calculated volume (Å³/atom) = 28.01
- total DFT energy (no corrections) (hartree per atom) = -0.2185



K3Nb8O21 | PBE | optimized geometry

Cell: 9.327 9.327 12.233 Å, 90.00 90.00 120.00°
Element x y z (fractional)
K: 0.594 0.594 0.750
K: 0.594 0.000 0.250
K: 0.000 0.594 0.250
K: 0.000 0.406 0.750
K: 0.406 0.000 0.750
K: 0.406 0.406 0.250
Nb: 0.000 0.751 0.594
Nb: 0.751 0.000 0.594
Nb: 0.249 0.249 0.594
Nb: 0.751 0.751 0.094
Nb: 0.249 0.249 0.906
Nb: 0.000 0.249 0.094
Nb: 0.249 0.000 0.094
Nb: 0.249 0.000 0.406
Nb: 0.000 0.249 0.406
Nb: 0.000 0.751 0.906
Nb: 0.751 0.000 0.906
Nb: 0.751 0.751 0.406
Nb: 0.667 0.333 0.000
Nb: 0.333 0.667 0.500
Nb: 0.333 0.667 0.000
Nb: 0.667 0.333 0.500
O: 0.206 0.206 0.750
O: 0.206 0.000 0.250
O: 0.000 0.206 0.250
O: 0.000 0.794 0.750
O: 0.794 0.000 0.750
O: 0.794 0.794 0.250
O: 0.800 0.800 0.573
O: 0.000 0.200 0.573
O: 0.200 0.000 0.573
O: 0.800 0.000 0.073
O: 0.000 0.200 0.927
O: 0.200 0.200 0.073
O: 0.000 0.800 0.073
O: 0.200 0.200 0.427
O: 0.800 0.000 0.427
O: 0.687 0.519 0.095
O: 0.200 0.000 0.927
O: 0.000 0.800 0.427
O: 0.168 0.481 0.405
O: 0.313 0.832 0.405
O: 0.519 0.687 0.405
O: 0.481 0.313 0.905
O: 0.687 0.519 0.405
O: 0.519 0.832 0.905
O: 0.168 0.687 0.905
O: 0.832 0.313 0.405
O: 0.481 0.168 0.405
O: 0.313 0.832 0.095
O: 0.168 0.481 0.095
O: 0.313 0.481 0.905
O: 0.519 0.687 0.095
O: 0.481 0.313 0.595
O: 0.687 0.168 0.595
O: 0.832 0.519 0.595
O: 0.313 0.481 0.595
O: 0.481 0.168 0.095
O: 0.832 0.313 0.095
O: 0.168 0.687 0.595
O: 0.519 0.832 0.595
O: 0.687 0.168 0.905
O: 0.832 0.519 0.905
O: 0.800 0.800 0.927

Results
- magnetization (μB/f.u.) = 0.0
- calculated volume (Å³/atom) = 14.40
- total DFT energy (no corrections) (hartree per atom) = -0.3082



Ca2MnGe4Ir3 | PBE | optimized geometry

Cell: 4.180 4.180 10.537 Å, 90.00 90.00 90.00°
Element x y z (fractional)
Ca: 0.500 0.000 0.251
Ca: 0.000 0.500 0.749
Mn: 0.500 0.500 0.500
Ge: 0.500 0.500 0.000
Ge: 0.000 0.000 0.000
Ge: 0.500 0.000 0.633
Ge: 0.000 0.500 0.367
Ir: 0.000 0.000 0.500
Ir: 0.500 0.000 0.871
Ir: 0.000 0.500 0.129

Results
- magnetization (μB/f.u.) = 2.7
- calculated volume (Å³/atom) = 18.41
- formation enthalpy at 0 K (eV/atom) = -0.535



LiFe2Cl | PBE | optimized geometry

Cell: 3.136 3.136 6.897 Å, 90.00 90.00 90.00°
Element x y z (fractional)
Cl: 0.500 0.500 0.618
Fe: 0.000 0.000 0.107
Fe: 0.500 0.500 0.257
Li: 0.000 0.000 0.518

Results
- magnetization (μB/f.u.) = 5.6
- distance to the lowest polymorph of the same formula (meV per atom) = 15
- calculated volume (Å³/atom) = 16.96



SbPOs2 | PBE | optimized geometry

Cell: 4.823 4.823 4.823 Å, 130.21 130.21 73.07°
Element x y z (fractional)
Sb: 0.750 0.250 0.500
P: 0.500 0.500 0.000
Os: 0.000 0.000 0.000
Os: 0.250 0.750 0.500

Results
- magnetization (μB/f.u.) = 0.0
- distance to the lowest polymorph of the same formula (meV per atom) = 690
- calculated volume (Å³/atom) = 15.98



Cs2BBr7 | PBE | optimized geometry

Cell: 8.044 8.044 8.159 Å, 60.47 60.47 90.00°
Element x y z (fractional)
Cs: 0.750 0.250 0.500
Cs: 0.250 0.750 0.500
B: 0.500 0.500 0.000
Br: 0.000 0.000 0.000
Br: 0.219 0.219 0.561
Br: 0.781 0.781 0.439
Br: 0.309 0.309 0.000
Br: 0.691 0.691 0.000
Br: 0.691 0.309 0.000
Br: 0.309 0.691 0.000

Results
- magnetization (μB/f.u.) = 0.0
- calculated volume (Å³/atom) = 37.85
- total DFT energy (no corrections) (hartree per atom) = -0.0983



RbLiHg2Sb | PBE | optimized geometry

Cell: 5.485 5.485 5.261 Å, 90.00 90.00 90.00°
Element x y z (fractional)
Sb: 0.000 0.000 0.500
Hg: 0.000 0.500 0.000
Hg: 0.500 0.000 0.000
Rb: 0.500 0.500 0.500
Li: 0.000 0.000 0.000

Results
- magnetization (μB/f.u.) = 0.0
- calculated volume (Å³/atom) = 31.66
- total DFT energy (no corrections) (hartree per atom) = -0.0625



RbV2Cl6 | PBE | optimized geometry

Cell: 7.416 6.367 6.367 Å, 120.00 90.00 90.00°
Element x y z (fractional)
Rb: 0.000 0.000 0.000
V: 0.500 0.667 0.333
V: 0.500 0.333 0.667
Cl: 0.686 0.628 0.628
Cl: 0.314 0.628 0.000
Cl: 0.314 0.000 0.628
Cl: 0.686 0.372 0.000
Cl: 0.314 0.372 0.372
Cl: 0.686 0.000 0.372

Results
- magnetization (μB/f.u.) = 5.0
- calculated volume (Å³/atom) = 28.92
- total DFT energy (no corrections) (hartree per atom) = -0.1758



RbCaB2 | PBE | optimized geometry

Cell: 7.870 7.870 6.573 Å, 53.23 53.23 90.00°
Element x y z (fractional)
Ca: 0.500 0.500 0.000
Ca: 0.250 0.750 0.500
B: 0.567 0.125 0.250
B: 0.183 0.625 0.250
B: 0.375 0.433 0.750
B: 0.875 0.817 0.750
Rb: 0.000 0.000 0.000
Rb: 0.750 0.250 0.500

Results
- magnetization (μB/f.u.) = 1.1
- distance to the lowest polymorph of the same formula (meV per atom) = 157
- calculated volume (Å³/atom) = 27.08
- formation enthalpy at 0 K (eV/atom) = 1.713



Ge3RuC | PBE | optimized geometry

Cell: 4.210 4.210 4.210 Å, 90.00 90.00 90.00°
Element x y z (fractional)
Ru: 0.500 0.500 0.500
Ge: 0.000 0.500 0.000
Ge: 0.000 0.000 0.500
Ge: 0.500 0.000 0.000
C: 0.000 0.000 0.000

Results
- magnetization (μB/f.u.) = 0.0
- distance to the lowest polymorph of the same formula (meV per atom) = 0
- calculated volume (Å³/atom) = 14.93
- formation enthalpy at 0 K (eV/atom) = 1.075



AcSmCoPd | PBE | optimized geometry

Cell: 5.117 5.117 5.117 Å, 60.00 60.00 60.00°
Element x y z (fractional)
Ac: 0.750 0.750 0.750
Co: 0.500 0.500 0.500
Pd: 0.000 0.000 0.000
Sm: 0.250 0.250 0.250

Results
- magnetization (μB/f.u.) = 0.4
- calculated volume (Å³/atom) = 23.68
- formation enthalpy at 0 K (eV/atom) = -0.278



KSrSnO3 | PBE | optimized geometry

Cell: 3.675 6.579 10.081 Å, 90.97 90.00 90.00°
Element x y z (fractional)
K: 0.250 0.014 0.144
K: 0.750 0.986 0.856
Sr: 0.250 0.512 0.145
Sr: 0.750 0.488 0.855
Sn: 0.250 0.217 0.539
Sn: 0.750 0.783 0.461
O: 0.750 0.730 0.269
O: 0.250 0.270 0.731
O: 0.250 0.876 0.551
O: 0.750 0.124 0.449
O: 0.750 0.300 0.058
O: 0.250 0.700 0.942

Results
- magnetization (μB/f.u.) = 0.0
- calculated volume (Å³/atom) = 20.31
- total DFT energy (no corrections) (hartree per atom) = -0.1950



Sr3MgTc2O9 | PBE | optimized geometry

Cell: 5.621 5.621 6.893 Å, 90.00 90.00 120.00°
Element x y z (fractional)
Sr: 0.333 0.667 0.650
Sr: 0.000 0.000 0.000
Sr: 0.667 0.333 0.350
Mg: 0.000 0.000 0.500
Tc: 0.333 0.667 0.163
Tc: 0.667 0.333 0.837
O: 0.829 0.171 0.674
O: 0.829 0.658 0.674
O: 0.342 0.171 0.674
O: 0.658 0.829 0.326
O: 0.171 0.342 0.326
O: 0.171 0.829 0.326
O: 0.500 0.000 0.000
O: 0.000 0.500 0.000
O: 0.500 0.500 0.000

Results
- magnetization (μB/f.u.) = 0.0
- calculated volume (Å³/atom) = 12.58
- total DFT energy (no corrections) (hartree per atom) = -0.2601